No. 1
The following is a DFT calculation (PBE) of PmPuNp2N4 after structural relaxation.

a b c (Å): 3.477 6.053 6.060
angles (deg): 109.46 90.00 90.00
Each line ends with the local moment (μB).
Element x y z (fractional)
Pu: 0.000 0.000 0.000  4.77
N: 0.500 0.248 0.267  -0.03
N: 0.000 0.231 0.727  -0.08
N: 0.000 0.769 0.273  -0.08
Np: 0.500 0.000 0.500  2.73
N: 0.500 0.752 0.733  -0.03
Np: 0.000 0.500 0.500  -2.97
Pm: 0.500 0.500 0.000  0.03

Results
**Energy relative to the elements, uncorrected**: -1185 meV per atom
**Final energy**: -10.97 eV/atom

---

No. 2
The following is a DFT calculation (PBE) of Ac2ErAs after structural relaxation.

a b c (Å): 4.065 4.065 11.376
angles (deg): 79.71 79.71 60.00
Element x y z (fractional)
Ac: 0.108 0.108 0.675
As: 0.500 0.500 0.500
Er: 0.000 0.000 0.000
Ac: 0.892 0.892 0.325

Results
**Calculated formation energy**: -0.254 eV/atom
**Final energy**: -4.61 eV/atom

---

Please write out number 1 again, unchanged.
The following is a DFT calculation (PBE) of PmPuNp2N4 after structural relaxation.

a b c (Å): 3.477 6.053 6.060
angles (deg): 109.46 90.00 90.00
Each line ends with the local moment (μB).
Element x y z (fractional)
Pu: 0.000 0.000 0.000  4.77
N: 0.500 0.248 0.267  -0.03
N: 0.000 0.231 0.727  -0.08
N: 0.000 0.769 0.273  -0.08
Np: 0.500 0.000 0.500  2.73
N: 0.500 0.752 0.733  -0.03
Np: 0.000 0.500 0.500  -2.97
Pm: 0.500 0.500 0.000  0.03

Results
**Energy relative to the elements, uncorrected**: -1185 meV per atom
**Final energy**: -10.97 eV/atom

---

Which of these has the lowest final energy?
PmPuNp2N4

---

Number 2 is which compound?
Ac2ErAs

---

Look up the final energy of the second one.
-4.61 eV/atom